Entry 1:
# SrAs2Ir (GGA-PBEsol, optimized geometry)
data_SrAs2Ir
_cell_length_a 4.1689
_cell_length_b 4.1689
_cell_length_c 16.3965
_cell_angle_alpha 90.00
_cell_angle_beta 90.00
_cell_angle_gamma 120.00
_space_group_name_H-M_alt 'R -3 m'
_space_group_IT_number 166
_space_group_name_Hall '-R 3 2"'
loop_
_atom_site_label
_atom_site_type_symbol
_atom_site_fract_x
_atom_site_fract_y
_atom_site_fract_z
Sr1 Sr 0.0000 0.0000 0.0000
As1 As 0.0000 0.0000 0.2171
Ir1 Ir 0.0000 0.0000 0.5000
# * DFT formation energy: -0.689 eV/atom
# * DOS at the Fermi energy: 2.02 states/eV/f.u.
# * size of the total moment: 0.0 Bohr magnetons per cell

***

Entry 2:
# SrAs2Ir (GGA-PBEsol, optimized geometry)
data_SrAs2Ir
_cell_length_a 6.797
_cell_length_b 6.797
_cell_length_c 6.797
_cell_angle_alpha 90.00
_cell_angle_beta 90.00
_cell_angle_gamma 90.00
_space_group_name_H-M_alt 'F -4 3 m'
_space_group_IT_number 216
_space_group_name_Hall 'F -4 2 3'
loop_
_atom_site_label
_atom_site_type_symbol
_atom_site_fract_x
_atom_site_fract_y
_atom_site_fract_z
Sr1 Sr 0.000 0.000 0.000
As1 As 0.000 0.000 0.500
As2 As 0.250 0.250 0.750
Ir1 Ir 0.250 0.250 0.250
# * DFT formation energy: 0.215 eV/atom
# * DOS at the Fermi energy: 3.19 states/eV/f.u.
# * size of the total moment: 0.0 Bohr magnetons per cell

***

Entry 3:
# SrAs2Ir (GGA-PBEsol, optimized geometry)
data_SrAs2Ir
_cell_length_a 3.226
_cell_length_b 3.683
_cell_length_c 6.843
_cell_angle_alpha 90.00
_cell_angle_beta 90.00
_cell_angle_gamma 90.00
_space_group_name_H-M_alt 'P m m 2'
_space_group_IT_number 25
loop_
_space_group_symop_operation_xyz
'x,y,z'
'-x,-y,z'
'-x,y,z'
'x,-y,z'
loop_
_atom_site_label
_atom_site_type_symbol
_atom_site_fract_x
_atom_site_fract_y
_atom_site_fract_z
Sr1 Sr 0.000 0.000 0.000
As1 As 0.000 0.000 0.537
As2 As 0.500 0.500 0.291
Ir1 Ir 0.500 0.500 0.660
# * DFT formation energy: -0.167 eV/atom
# * DOS at the Fermi energy: 2.87 states/eV/f.u.
# * size of the total moment: 0.0 Bohr magnetons per cell

***

Entry 4:
# SrAsIr2 (GGA-PBEsol, optimized geometry)
data_SrAsIr2
_cell_length_a 4.2845
_cell_length_b 4.2845
_cell_length_c 16.1267
_cell_angle_alpha 90.00
_cell_angle_beta 90.00
_cell_angle_gamma 120.00
_space_group_name_H-M_alt 'R -3 m'
_space_group_IT_number 166
_space_group_name_Hall '-R 3 2"'
loop_
_atom_site_label
_atom_site_type_symbol
_atom_site_fract_x
_atom_site_fract_y
_atom_site_fract_z
Sr1 Sr 0.0000 0.0000 0.0000
As1 As 0.0000 0.0000 0.5000
Ir1 Ir 0.0000 0.0000 0.1958
# * DFT formation energy: -0.193 eV/atom
# * DOS at the Fermi energy: 2.32 states/eV/f.u.
# * size of the total moment: 0.0 Bohr magnetons per cell